Entry 1:
# TaCuTcAs

TaCuTcAs after structural relaxation (PBE-GGA, OQMD). Values from VASP.

Output
Distance to the lowest polymorph of the same formula: 50 meV/atom
Spin magnetization: 0.00 μB/f.u.
Calculated density: 11.453 g cm⁻³
Energy: -30.12 eV per cell

The structure in Quantum ESPRESSO input format:
```
&SYSTEM
  ibrav = 0, nat = 4, ntyp = 4
/
ATOMIC_SPECIES
Ta 180.95 Ta.upf
Cu 63.55 Cu.upf
Tc 98.00 Tc.upf
As 74.92 As.upf
ATOMIC_POSITIONS angstrom
Ta 0.000 0.000 0.000
Cu 4.674 4.674 4.674
Tc 1.558 1.558 1.558
As 3.116 3.116 3.116
CELL_PARAMETERS angstrom
0.000 3.116 3.116
3.116 0.000 3.116
3.116 3.116 0.000
```

***

Entry 2:
# Li3Zn2Ga4

Li3Zn2Ga4 after structural relaxation (PBE-GGA, OQMD). Values from VASP.

Output
Calculated density: 4.910 g cm⁻³
Energy: -22.47 eV per cell

The structure in Quantum ESPRESSO input format:
```
&SYSTEM
  ibrav = 0, nat = 9, ntyp = 3
/
ATOMIC_SPECIES
Li 6.94 Li.upf
Zn 65.41 Zn.upf
Ga 69.72 Ga.upf
ATOMIC_POSITIONS angstrom
Li 0.000 0.000 0.000
Li 1.814 0.000 2.326
Li 3.648 0.000 4.604
Zn 0.733 0.000 4.988
Zn 4.729 0.000 1.942
Ga -1.093 0.000 2.685
Ga -1.257 0.000 6.516
Ga 6.719 0.000 0.414
Ga 6.555 0.000 4.245
CELL_PARAMETERS angstrom
4.824 -2.177 0.000
4.824 2.177 0.000
-4.187 0.000 6.930
```

***

Entry 3:
# HfNbAu

HfNbAu after structural relaxation (PBE-GGA, OQMD). Values from VASP.

Output
Distance to the lowest polymorph of the same formula: 0 meV/atom
Spin magnetization: 0.00 μB/f.u.
Formation energy from the elements: 0.33 eV/atom
Calculated density: 11.761 g cm⁻³
Energy: -22.33 eV per cell

The structure in Quantum ESPRESSO input format:
```
&SYSTEM
  ibrav = 0, nat = 3, ntyp = 3
/
ATOMIC_SPECIES
Hf 178.49 Hf.upf
Nb 92.91 Nb.upf
Au 196.97 Au.upf
ATOMIC_POSITIONS angstrom
Hf 0.000 0.000 0.000
Nb 3.210 3.210 3.210
Au 1.605 1.605 1.605
CELL_PARAMETERS angstrom
0.000 3.210 3.210
3.210 0.000 3.210
3.210 3.210 0.000
```

***

Entry 4:
# AcOs

AcOs after structural relaxation (PBE-GGA, OQMD). Values from VASP.

Output
Spin magnetization: 0.00 μB/f.u.
Formation energy from the elements: 0.96 eV/atom
Calculated density: 13.861 g cm⁻³
Energy: -13.40 eV per cell

The structure in Quantum ESPRESSO input format:
```
&SYSTEM
  ibrav = 0, nat = 2, ntyp = 2
/
ATOMIC_SPECIES
Ac 227.00 Ac.upf
Os 190.23 Os.upf
ATOMIC_POSITIONS angstrom
Ac 0.000 0.000 0.000
Os 1.768 1.021 2.307
CELL_PARAMETERS angstrom
3.537 0.000 0.000
-1.768 3.063 0.000
0.000 0.000 4.614
```

***

Entry 5:
# HoReN3

HoReN3 after structural relaxation (PBE-GGA, OQMD). Values from VASP.

Output
Spin magnetization: 0.00 μB/f.u.
Calculated density: 8.503 g cm⁻³
Energy: -181.11 eV per cell

The structure in Quantum ESPRESSO input format:
```
&SYSTEM
  ibrav = 0, nat = 20, ntyp = 3
/
ATOMIC_SPECIES
Ho 164.93 Ho.upf
Re 186.21 Re.upf
N 14.01 N.upf
ATOMIC_POSITIONS angstrom
Ho 3.683 3.906 4.314
Ho 4.940 2.035 1.438
Ho 3.683 -2.035 4.314
Ho 4.940 -3.906 1.438
Re 1.266 0.827 4.512
Re 2.523 -0.827 1.637
Re 6.100 0.827 4.115
Re 7.357 -0.827 1.239
N -0.425 1.022 3.804
N 2.101 2.399 4.837
N 0.832 -1.022 0.928
N 3.664 0.170 0.520
N 2.407 -0.170 3.396
N 5.264 2.399 3.791
N 3.358 -2.399 1.961
N 6.216 0.170 2.356
N 4.959 -0.170 5.232
N 7.791 1.022 4.824
N 6.521 -2.399 0.915
N 9.048 -1.022 1.948
CELL_PARAMETERS angstrom
5.568 -4.794 0.000
5.568 4.794 0.000
-2.514 0.000 5.752
```

***

Entry 6:
# Cd2PdPt2

Cd2PdPt2 after structural relaxation (PBE-GGA, OQMD). Values from VASP.

Output
Distance to the lowest polymorph of the same formula: 243 meV/atom
Spin magnetization: 0.12 μB/f.u.
Formation energy from the elements: 0.23 eV/atom
Calculated density: 12.095 g cm⁻³
Energy: -17.91 eV per cell

The structure in Quantum ESPRESSO input format:
```
&SYSTEM
  ibrav = 0, nat = 5, ntyp = 3
/
ATOMIC_SPECIES
Cd 112.41 Cd.upf
Pd 106.42 Pd.upf
Pt 195.08 Pt.upf
ATOMIC_POSITIONS angstrom
Cd 2.020 0.000 3.035
Cd 0.000 2.020 3.035
Pd 0.000 0.000 0.000
Pt 0.000 0.000 4.828
Pt 0.000 0.000 7.312
CELL_PARAMETERS angstrom
-2.020 2.020 6.070
2.020 -2.020 6.070
2.020 2.020 -6.070
```

***

Entry 7:
# DyHoMg2Au4

DyHoMg2Au4 after structural relaxation (PBE-GGA, OQMD). Values from VASP.

Output
Spin magnetization: 0.00 μB/f.u.
Calculated density: 11.812 g cm⁻³
Energy: -31.61 eV per cell

The structure in Quantum ESPRESSO input format:
```
&SYSTEM
  ibrav = 0, nat = 8, ntyp = 4
/
ATOMIC_SPECIES
Dy 162.50 Dy.upf
Ho 164.93 Ho.upf
Mg 24.30 Mg.upf
Au 196.97 Au.upf
ATOMIC_POSITIONS angstrom
Dy 0.000 0.000 0.000
Ho 2.454 3.391 2.488
Mg 0.000 3.391 4.910
Mg 2.454 0.000 2.486
Au 0.000 1.708 2.453
Au 0.000 5.075 2.453
Au 2.454 1.716 0.035
Au 2.454 5.067 0.035
CELL_PARAMETERS angstrom
4.908 0.000 0.000
0.000 6.783 0.000
0.000 0.000 4.915
```

***

Entry 8:
# SbPPtO

SbPPtO after structural relaxation (PBE-GGA, OQMD). Values from VASP.

Output
Distance to the lowest polymorph of the same formula: 828 meV/atom
Spin magnetization: 0.00 μB/f.u.
Calculated density: 9.004 g cm⁻³
Energy: -38.11 eV per cell

The structure in Quantum ESPRESSO input format:
```
&SYSTEM
  ibrav = 0, nat = 8, ntyp = 4
/
ATOMIC_SPECIES
Sb 121.76 Sb.upf
P 30.97 P.upf
Pt 195.08 Pt.upf
O 16.00 O.upf
ATOMIC_POSITIONS angstrom
Sb 1.172 3.516 0.000
Sb 3.516 1.172 0.000
P 1.172 1.172 1.189
P 3.516 3.516 4.916
Pt 1.172 1.172 3.421
Pt 3.516 3.516 2.684
O 1.172 3.516 3.052
O 3.516 1.172 3.052
CELL_PARAMETERS angstrom
4.688 0.000 0.000
0.000 4.688 0.000
0.000 0.000 6.105
```

***

Entry 9:
# DyErIn

DyErIn after structural relaxation (PBE-GGA, OQMD). Values from VASP.

Output
Distance to the lowest polymorph of the same formula: 0 meV/atom
Spin magnetization: 0.29 μB/f.u.
Calculated density: 8.881 g cm⁻³
Energy: -25.92 eV per cell

The structure in Quantum ESPRESSO input format:
```
&SYSTEM
  ibrav = 0, nat = 6, ntyp = 3
/
ATOMIC_SPECIES
Dy 162.50 Dy.upf
Er 167.26 Er.upf
In 114.82 In.upf
ATOMIC_POSITIONS angstrom
Dy 0.000 0.000 0.000
Dy 0.000 0.000 3.343
Er 0.000 3.093 1.672
Er 2.679 1.547 5.015
In 0.000 3.093 5.015
In 2.679 1.547 1.672
CELL_PARAMETERS angstrom
5.358 0.000 0.000
-2.679 4.640 0.000
0.000 0.000 6.687
```

***

Entry 10:
# ScHgPb

ScHgPb after structural relaxation (PBE-GGA, OQMD). Values from VASP.

Output
Distance to the lowest polymorph of the same formula: 0 meV/atom
Spin magnetization: 0.00 μB/f.u.
Calculated density: 9.207 g cm⁻³
Energy: -10.64 eV per cell

The structure in Quantum ESPRESSO input format:
```
&SYSTEM
  ibrav = 0, nat = 3, ntyp = 3
/
ATOMIC_SPECIES
Sc 44.96 Sc.upf
Hg 200.59 Hg.upf
Pb 207.20 Pb.upf
ATOMIC_POSITIONS angstrom
Sc 0.000 0.000 0.000
Hg 5.165 5.165 5.165
Pb 1.722 1.722 1.722
CELL_PARAMETERS angstrom
0.000 3.443 3.443
3.443 0.000 3.443
3.443 3.443 0.000
```

***

Entry 11:
# UAsOs

UAsOs after structural relaxation (PBE-GGA, OQMD). Values from VASP.

Output
Spin magnetization: 1.03 μB/f.u.
Calculated density: 13.168 g cm⁻³
Energy: -27.33 eV per cell

The structure in Quantum ESPRESSO input format:
```
&SYSTEM
  ibrav = 0, nat = 3, ntyp = 3
/
ATOMIC_SPECIES
U 238.03 U.upf
As 74.92 As.upf
Os 190.23 Os.upf
ATOMIC_POSITIONS angstrom
U 0.000 0.000 0.000
As 3.166 3.166 3.166
Os 4.749 4.749 4.749
CELL_PARAMETERS angstrom
0.000 3.166 3.166
3.166 0.000 3.166
3.166 3.166 0.000
```

***

Entry 12:
# LaYCu2As4

LaYCu2As4 after structural relaxation (PBE-GGA, OQMD). Values from VASP.

Output
Spin magnetization: 0.00 μB/f.u.
Calculated density: 6.838 g cm⁻³
Energy: -44.22 eV per cell

The structure in Quantum ESPRESSO input format:
```
&SYSTEM
  ibrav = 0, nat = 8, ntyp = 4
/
ATOMIC_SPECIES
La 138.91 La.upf
Y 88.91 Y.upf
Cu 63.55 Cu.upf
As 74.92 As.upf
ATOMIC_POSITIONS angstrom
La 0.000 0.000 0.000
Y 1.981 1.981 4.834
Cu 0.000 1.981 7.391
Cu 1.981 0.000 7.391
As 0.000 0.000 5.843
As 0.000 1.981 2.504
As 1.981 0.000 2.504
As 1.981 1.981 8.923
CELL_PARAMETERS angstrom
3.962 0.000 0.000
0.000 3.962 0.000
0.000 0.000 10.126
```

***

Among the records above, which one has the highest energy?
ScHgPb

***

The lowest energy belongs to which entry?
HoReN3

***

Among the records above, which one has the highest energy?
ScHgPb

***

Please write out number 2 again, unchanged.
# Li3Zn2Ga4

Li3Zn2Ga4 after structural relaxation (PBE-GGA, OQMD). Values from VASP.

Output
Calculated density: 4.910 g cm⁻³
Energy: -22.47 eV per cell

The structure in Quantum ESPRESSO input format:
```
&SYSTEM
  ibrav = 0, nat = 9, ntyp = 3
/
ATOMIC_SPECIES
Li 6.94 Li.upf
Zn 65.41 Zn.upf
Ga 69.72 Ga.upf
ATOMIC_POSITIONS angstrom
Li 0.000 0.000 0.000
Li 1.814 0.000 2.326
Li 3.648 0.000 4.604
Zn 0.733 0.000 4.988
Zn 4.729 0.000 1.942
Ga -1.093 0.000 2.685
Ga -1.257 0.000 6.516
Ga 6.719 0.000 0.414
Ga 6.555 0.000 4.245
CELL_PARAMETERS angstrom
4.824 -2.177 0.000
4.824 2.177 0.000
-4.187 0.000 6.930
```